Compound: Sm4InSb2
Source: the Alexandria database
Functional: PBE
Structure: relaxed

Output
Raw formation energy: -4.62 eV/f.u.
Calculated volume: 33.96 A^3/atom
D(E_F): 0.6757 states/eV/atom

Cell lengths 8.5206, 8.5206, 8.5136 Å; angles 108.95, 108.95, 110.55 degrees
Closest atoms and distances in Å follow each position.
Fractional positions:
1 In 0.2500 0.7500 0.5000  4 Sm 3.16
2 In 0.0000 0.0000 0.0000  4 Sm 3.16
3 Sm 0.3160 0.5030 0.1875  3 Sb 3.07-3.14, 1 In 3.16
4 Sm 0.3785 0.0655 0.3124  3 Sb 3.07-3.15, 1 In 3.16
5 Sm 0.9340 0.2470 0.3125  3 Sb 3.07-3.14, 1 In 3.16
6 Sm 0.8715 0.6845 0.1876  3 Sb 3.07-3.15, 1 In 3.16
7 Sm 0.3155 0.1285 0.8125  3 Sb 3.07-3.15, 1 In 3.16
8 Sm 0.4970 0.6840 0.8125  3 Sb 3.07-3.15, 1 In 3.16
9 Sm 0.9345 0.6215 0.6875  3 Sb 3.07-3.14, 1 In 3.16
10 Sm 0.7530 0.0660 0.6876  3 Sb 3.07-3.15, 1 In 3.16
11 Sb 0.6250 0.8750 0.2500  6 Sm 3.07-3.15
12 Sb 0.6250 0.3750 0.2500  6 Sm 3.07-3.15
13 Sb 0.1250 0.3750 0.7500  6 Sm 3.07-3.14
14 Sb 0.6250 0.3750 0.7500  6 Sm 3.07-3.15

Compound: Sm4InSbTe2
Source: the Alexandria database
Functional: PBE
Structure: relaxed

Output
Raw formation energy: -8.83 eV/f.u.
Calculated volume: 31.49 A^3/atom
D(E_F): 0.3344 states/eV/atom

Cell lengths 4.3824, 7.7788, 7.7964 Å; angles 108.60, 90.00, 90.00 degrees
Closest atoms and distances in Å follow each position.
Fractional positions:
1 Te 0.0000 0.5000 0.5000  6 Sm 3.19-3.20
2 Te 0.5000 0.0000 0.5000  6 Sm 3.17-3.21
3 In 0.5000 0.5000 0.0000  6 Sm 3.11-3.14
4 Sm 0.5000 0.2480 0.2402  1 In 3.11, 2 Sb 3.12, 3 Te 3.20-3.21
5 Sm 0.0000 0.7494 0.2458  1 Sb 3.14, 2 In 3.14, 3 Te 3.17-3.19
6 Sm 0.0000 0.2506 0.7542  1 Sb 3.14, 2 In 3.14, 3 Te 3.17-3.19
7 Sm 0.5000 0.7520 0.7598  1 In 3.11, 2 Sb 3.12, 3 Te 3.20-3.21
8 Sb 0.0000 0.0000 0.0000  6 Sm 3.12-3.14

Compound: Sm6InSb2Te3
Source: the Alexandria database
Functional: PBE
Structure: relaxed

Output
Raw formation energy: -14.15 eV/f.u.
Calculated volume: 31.52 A^3/atom
D(E_F): 0.3087 states/eV/atom

Cell lengths 4.4234, 9.0172, 9.9962 Å; angles 103.09, 102.78, 90.00 degrees
Closest atoms and distances in Å follow each position.
Fractional positions:
1 In 0.5000 0.0000 0.0000  6 Sm 3.11-3.13
2 Sm 0.3307 0.4226 0.6613  3 Sb 3.11, 3 Te 3.19-3.21
3 Sm 0.3361 0.9131 0.6722  1 In 3.11, 2 Sb 3.13, 3 Te 3.18-3.20
4 Sm 0.6693 0.5774 0.3387  3 Sb 3.11, 3 Te 3.19-3.21
5 Sm 0.9991 0.7533 0.9981  2 In 3.13, 1 Sb 3.14, 3 Te 3.18-3.21
6 Sm 0.6639 0.0869 0.3278  1 In 3.11, 2 Sb 3.13, 3 Te 3.18-3.20
7 Sm 0.0009 0.2467 0.0019  2 In 3.13, 1 Sb 3.14, 3 Te 3.18-3.21
8 Te 0.5000 0.5000 0.0000  6 Sm 3.18-3.21
9 Te 0.1682 0.8325 0.3365  6 Sm 3.18-3.21
10 Te 0.8318 0.1675 0.6635  6 Sm 3.18-3.21
11 Sb 0.8335 0.6667 0.6671  6 Sm 3.11-3.14
12 Sb 0.1665 0.3333 0.3329  6 Sm 3.11-3.14

Compound: InSnSb2
Source: the Alexandria database
Functional: PBE
Structure: relaxed

Output
Raw formation energy: 0.18 eV/f.u.
Calculated volume: 38.94 A^3/atom
D(E_F): 0.6228 states/eV/atom

Cell lengths 6.7477, 6.7477, 8.3407 Å; angles 66.14, 66.14, 90.00 degrees
Closest atoms and distances in Å follow each position.
Fractional positions:
1 Sn 0.7500 0.2500 0.5000  4 Sb 2.96
2 Sn 0.0000 0.0000 0.0000  4 Sb 2.96
3 Sb 0.8750 0.8680 0.7500  2 In 2.91, 2 Sn 2.96
4 Sb 0.6180 0.1250 0.2500  2 In 2.91, 2 Sn 2.96
5 Sb 0.1320 0.6250 0.2500  2 In 2.91, 2 Sn 2.96
6 Sb 0.3750 0.3820 0.7500  2 In 2.91, 2 Sn 2.96
7 In 0.5000 0.5000 0.0000  4 Sb 2.91
8 In 0.2500 0.7500 0.5000  4 Sb 2.91

Compound: InSnSb2
Source: the Alexandria database
Functional: PBE
Structure: relaxed

Output
Raw formation energy: 0.02 eV/f.u.
Calculated volume: 29.20 A^3/atom
D(E_F): 0.4422 states/eV/atom

Cell lengths 4.3391, 4.3391, 7.5879 Å; angles 73.39, 73.39, 60.00 degrees
Closest atoms and distances in Å follow each position.
Fractional positions:
1 In 0.5000 0.5000 0.5000  6 Sb 3.08
2 Sb 0.2500 0.2500 0.2500  3 In 3.08, 3 Sn 3.08
3 Sb 0.7500 0.7500 0.7500  3 In 3.08, 3 Sn 3.08
4 Sn 0.0000 0.0000 0.0000  6 Sb 3.08

Compound: In12Sn5Sb3
Source: the Alexandria database
Functional: PBE
Structure: relaxed

Output
Raw formation energy: 2.97 eV/f.u.
Calculated volume: 33.95 A^3/atom
D(E_F): 0.7412 states/eV/atom

Cell lengths 15.2229, 15.2229, 15.2229 Å; angles 109.47, 109.47, 109.47 degrees
Closest atoms and distances in Å follow each position.
Fractional positions:
1 In 0.7723 0.3328 0.9121  2 Sn 2.90-3.01, 2 Sb 3.14-3.24
2 In 0.8328 0.9207 0.0606  2 Sn 2.90-3.01, 2 Sb 3.14-3.24
3 In 0.9207 0.8328 0.5606  2 Sn 2.90-3.01, 2 Sb 3.14-3.24
4 In 0.3601 0.4207 0.0879  2 Sn 2.90-3.01, 2 Sb 3.14-3.24
5 In 0.2723 0.4121 0.8328  2 Sn 2.90-3.01, 2 Sb 3.14-3.24
6 In 0.9121 0.0793 0.6399  2 Sn 2.90-3.01, 2 Sb 3.14-3.24
7 In 0.0879 0.9207 0.3601  2 Sn 2.90-3.01, 2 Sb 3.14-3.24
8 In 0.0879 0.1672 0.2277  2 Sn 2.90-3.01, 2 Sb 3.14-3.24
9 In 0.4207 0.3601 0.5879  2 Sn 2.90-3.01, 2 Sb 3.14-3.24
10 In 0.0793 0.9121 0.1399  2 Sn 2.90-3.01, 2 Sb 3.14-3.24
11 In 0.2277 0.6672 0.0879  2 Sn 2.90-3.01, 2 Sb 3.14-3.24
12 In 0.6672 0.4394 0.5793  2 Sn 2.90-3.01, 2 Sb 3.14-3.24
13 In 0.5793 0.6399 0.4121  2 Sn 2.90-3.01, 2 Sb 3.14-3.24
14 In 0.1672 0.0879 0.7277  2 Sn 2.90-3.01, 2 Sb 3.14-3.24
15 In 0.0793 0.1672 0.4394  2 Sn 2.90-3.01, 2 Sb 3.14-3.24
16 In 0.9394 0.5793 0.1672  2 Sn 2.90-3.01, 2 Sb 3.14-3.24
17 In 0.5879 0.8601 0.4207  2 Sn 2.90-3.01, 2 Sb 3.14-3.24
18 In 0.9394 0.3601 0.2723  2 Sn 2.90-3.01, 2 Sb 3.14-3.24
19 In 0.0606 0.4207 0.8328  2 Sn 2.90-3.01, 2 Sb 3.14-3.24
20 In 0.6399 0.0606 0.2277  2 Sn 2.90-3.01, 2 Sb 3.14-3.24
21 In 0.9207 0.0879 0.8601  2 Sn 2.90-3.01, 2 Sb 3.14-3.24
22 In 0.4394 0.6672 0.0793  2 Sn 2.90-3.01, 2 Sb 3.14-3.24
23 In 0.1672 0.0793 0.9394  2 Sn 2.90-3.01, 2 Sb 3.14-3.24
24 In 0.4121 0.1399 0.5793  2 Sn 2.90-3.01, 2 Sb 3.14-3.24
25 In 0.9121 0.8328 0.7723  2 Sn 2.90-3.01, 2 Sb 3.14-3.24
26 In 0.8328 0.9121 0.2723  2 Sn 2.90-3.01, 2 Sb 3.14-3.24
27 In 0.1399 0.7277 0.5606  2 Sn 2.90-3.01, 2 Sb 3.14-3.24
28 In 0.4121 0.2723 0.3328  2 Sn 2.90-3.01, 2 Sb 3.14-3.24
29 In 0.2723 0.8601 0.9394  2 Sn 2.90-3.01, 2 Sb 3.14-3.24
30 In 0.8601 0.2723 0.4394  2 Sn 2.90-3.01, 2 Sb 3.14-3.24
31 In 0.5606 0.2277 0.1399  2 Sn 2.90-3.01, 2 Sb 3.14-3.24
32 In 0.5793 0.9394 0.6672  2 Sn 2.90-3.01, 2 Sb 3.14-3.24
33 In 0.3601 0.9394 0.7723  2 Sn 2.90-3.01, 2 Sb 3.14-3.24
34 In 0.1399 0.4121 0.0793  2 Sn 2.90-3.01, 2 Sb 3.14-3.24
35 In 0.5879 0.7277 0.6672  2 Sn 2.90-3.01, 2 Sb 3.14-3.24
36 In 0.4394 0.7723 0.8601  2 Sn 2.90-3.01, 2 Sb 3.14-3.24
37 In 0.6672 0.2277 0.5879  2 Sn 2.90-3.01, 2 Sb 3.14-3.24
38 In 0.5606 0.3328 0.9207  2 Sn 2.90-3.01, 2 Sb 3.14-3.24
39 In 0.7277 0.5879 0.1672  2 Sn 2.90-3.01, 2 Sb 3.14-3.24
40 In 0.4207 0.0606 0.3328  2 Sn 2.90-3.01, 2 Sb 3.14-3.24
41 In 0.7277 0.1399 0.0606  2 Sn 2.90-3.01, 2 Sb 3.14-3.24
42 In 0.3328 0.7723 0.4121  2 Sn 2.90-3.01, 2 Sb 3.14-3.24
43 In 0.0606 0.6399 0.7277  2 Sn 2.90-3.01, 2 Sb 3.14-3.24
44 In 0.6399 0.5793 0.9121  2 Sn 2.90-3.01, 2 Sb 3.14-3.24
45 In 0.2277 0.5606 0.6399  2 Sn 2.90-3.01, 2 Sb 3.14-3.24
46 In 0.3328 0.5606 0.4207  2 Sn 2.90-3.01, 2 Sb 3.14-3.24
47 In 0.7723 0.4394 0.3601  2 Sn 2.90-3.01, 2 Sb 3.14-3.24
48 In 0.8601 0.5879 0.9207  2 Sn 2.90-3.01, 2 Sb 3.14-3.24
49 Sn 0.1250 0.3750 0.2500  4 In 2.90
50 Sn 0.7500 0.6250 0.3750  4 In 2.90
51 Sn 0.1250 0.7500 0.3750  4 In 2.90
52 Sn 0.5000 0.5000 0.5000  6 In 3.01
53 Sn 0.0000 0.5000 0.5000  6 In 3.01
54 Sn 0.5000 0.5000 0.0000  6 In 3.01
55 Sn 0.3750 0.2500 0.1250  4 In 2.90
56 Sn 0.3750 0.1250 0.7500  4 In 2.90
57 Sn 0.8750 0.2500 0.6250  4 In 2.90
58 Sn 0.5000 0.0000 0.0000  6 In 3.01
59 Sn 0.0000 0.0000 0.0000  6 In 3.01
60 Sn 0.6250 0.7500 0.8750  4 In 2.90
61 Sn 0.2500 0.3750 0.6250  4 In 2.90
62 Sn 0.6250 0.8750 0.2500  4 In 2.90
63 Sn 0.2500 0.8750 0.1250  4 In 2.90
64 Sn 0.0000 0.5000 0.0000  6 In 3.01
65 Sn 0.5000 0.0000 0.5000  6 In 3.01
66 Sn 0.7500 0.1250 0.8750  4 In 2.90
67 Sn 0.0000 0.0000 0.5000  6 In 3.01
68 Sn 0.8750 0.6250 0.7500  4 In 2.90
69 Sb 0.7500 0.3750 0.1250  8 In 3.14-3.24
70 Sb 0.6250 0.2500 0.3750  8 In 3.14-3.24
71 Sb 0.2500 0.1250 0.3750  8 In 3.14-3.24
72 Sb 0.7500 0.8750 0.6250  8 In 3.14-3.24
73 Sb 0.2500 0.6250 0.8750  8 In 3.14-3.24
74 Sb 0.6250 0.3750 0.7500  8 In 3.14-3.24
75 Sb 0.1250 0.8750 0.7500  8 In 3.14-3.24
76 Sb 0.3750 0.6250 0.2500  8 In 3.14-3.24
77 Sb 0.8750 0.7500 0.1250  8 In 3.14-3.24
78 Sb 0.8750 0.1250 0.2500  8 In 3.14-3.24
79 Sb 0.3750 0.7500 0.6250  8 In 3.14-3.24
80 Sb 0.1250 0.2500 0.8750  8 In 3.14-3.24